[1]
Density functional theory data (GGA-PBEsol) for crystalline Tl2AsW at its relaxed geometry.

Cell: 4.8959 4.8959 4.8959 Å, 60.00 60.00 60.00°
Each line ends with the local moment (μB).
Fractional positions:
Tl 0.2500 0.2500 0.2500  0.00
Tl 0.7500 0.7500 0.7500  0.00
As 0.0000 0.0000 0.0000  -0.02
W 0.5000 0.5000 0.5000  0.91

E above lowest polymorph = 789 meV per atom
mass density = 13.36 g cm⁻³
energy of formation = 1220 meV per atom
SG = No. 225

[2]
Density functional theory data (GGA-PBEsol) for crystalline KRb2InF6 at its relaxed geometry.

Cell: 6.4904 6.3520 9.0296 Å, 90.04 90.00 90.00°
Fractional positions:
K 0.0000 0.0000 0.5000
K 0.5000 0.5000 0.0000
Rb 0.5422 0.0106 0.7490
Rb 0.4578 0.9894 0.2510
Rb 0.0422 0.4894 0.7510
Rb 0.9578 0.5106 0.2490
In 0.0000 0.0000 0.0000
In 0.5000 0.5000 0.5000
F 0.8160 0.2649 0.9636
F 0.1840 0.7351 0.0364
F 0.3160 0.2351 0.5364
F 0.6840 0.7649 0.4636
F 0.9687 0.9205 0.7765
F 0.0313 0.0795 0.2235
F 0.4687 0.5795 0.7235
F 0.5313 0.4205 0.2765
F 0.2624 0.1802 0.9524
F 0.7376 0.8198 0.0476
F 0.7624 0.3198 0.5476
F 0.2376 0.6802 0.4524

mass density = 3.92 g cm⁻³
formation energy from raw total energies = -2.755 eV per atom
SG = No. 14

[3]
Density functional theory data (GGA-PBEsol) for crystalline SrMg2SbRu at its relaxed geometry.

Cell: 5.1850 5.1850 6.0750 Å, 90.00 90.00 90.00°
Each line ends with the local moment (μB).
Fractional positions:
Sb 0.0000 0.0000 0.0000  0.00
Mg 0.0000 0.5000 0.0000  -0.02
Mg 0.5000 0.0000 0.0000  -0.02
Sr 0.0000 0.0000 0.5000  -0.05
Ru 0.5000 0.5000 0.5000  1.91

mass density = 3.65 g cm⁻³
formation energy from raw total energies = 0.958 eV per atom
SG = No. 123

[4]
Density functional theory data (GGA-PBEsol) for crystalline KCaIr2 at its relaxed geometry.

Cell: 2.8206 5.0457 6.7839 Å, 94.44 90.00 106.23°
Fractional positions:
Ca 0.5000 0.0000 0.0000
Ir 0.7565 0.5129 0.8417
Ir 0.2435 0.4871 0.1583
K 0.0000 0.0000 0.5000

E above lowest polymorph = 0 meV per atom
mass density = 8.33 g cm⁻³
energy of formation = 501 meV per atom
SG = No. 12

[5]
Density functional theory data (GGA-PBEsol) for crystalline LaMg2Ni at its relaxed geometry.

Cell: 3.2502 3.2502 8.0994 Å, 90.00 90.00 90.00°
Fractional positions:
La 0.5000 0.5000 0.6937
Mg 0.0000 0.0000 0.0339
Mg 0.5000 0.5000 0.3001
Ni 0.0000 0.0000 0.4723

mass density = 4.78 g cm⁻³
energy of formation = -104 meV per atom
SG = No. 99

[6]
Density functional theory data (GGA-PBEsol) for crystalline MnAsPb at its relaxed geometry.

Cell: 3.2583 3.2583 6.0681 Å, 105.57 105.57 90.00°
Each line ends with the local moment (μB).
Fractional positions:
As 0.0475 0.0475 0.0951  -0.10
Mn 0.6310 0.6310 0.2620  3.03
Pb 0.3214 0.3214 0.6429  -0.03

mass density = 9.39 g cm⁻³
energy of formation = 123 meV per atom
SG = No. 107

[7]
Density functional theory data (GGA-PBEsol) for crystalline CrCoRh2 at its relaxed geometry.

Cell: 2.5949 2.5949 8.4800 Å, 81.20 81.20 60.00°
Each line ends with the local moment (μB).
Fractional positions:
Co 0.5035 0.5035 0.4894  0.91
Cr 0.2471 0.2471 0.2587  -0.19
Rh 0.9955 0.9955 0.0134  0.00
Rh 0.7539 0.7539 0.7384  0.20

mass density = 10.81 g cm⁻³
energy of formation = 72 meV per atom
SG = No. 160

[8]
Density functional theory data (GGA-PBEsol) for crystalline TeMoI3 at its relaxed geometry.

Cell: 5.3161 5.3161 5.3161 Å, 90.00 90.00 90.00°
Fractional positions:
I 0.0000 0.5000 0.0000
I 0.0000 0.0000 0.5000
I 0.5000 0.0000 0.0000
Mo 0.0000 0.0000 0.0000
Te 0.5000 0.5000 0.5000

mass density = 6.68 g cm⁻³
formation energy from raw total energies = 0.467 eV per atom
SG = No. 221

[9]
Density functional theory data (GGA-PBEsol) for crystalline Si3Os2 at its relaxed geometry.

Cell: 5.5754 8.9575 11.1312 Å, 90.00 90.00 90.00°
Fractional positions:
Os 0.7640 0.1867 0.2455
Os 0.2640 0.3133 0.2545
Os 0.7360 0.1867 0.7545
Os 0.2360 0.3133 0.7455
Os 0.2360 0.8133 0.7545
Os 0.7360 0.6867 0.7455
Os 0.2640 0.8133 0.2455
Os 0.7640 0.6867 0.2545
Os 0.7500 0.0384 0.0000
Os 0.2500 0.4616 0.5000
Os 0.2500 0.9616 0.0000
Os 0.7500 0.5384 0.5000
Os 0.7500 0.5759 0.0000
Os 0.2500 0.9241 0.5000
Os 0.2500 0.4241 0.0000
Os 0.7500 0.0759 0.5000
Si 0.5564 0.2943 0.4263
Si 0.0564 0.2057 0.0737
Si 0.9436 0.2943 0.5737
Si 0.4436 0.2057 0.9263
Si 0.4436 0.7057 0.5737
Si 0.9436 0.7943 0.9263
Si 0.0564 0.7057 0.4263
Si 0.5564 0.7943 0.0737
Si 0.9110 0.4367 0.3185
Si 0.4110 0.0633 0.1815
Si 0.5890 0.4367 0.6815
Si 0.0890 0.0633 0.8185
Si 0.0890 0.5633 0.6815
Si 0.5890 0.9367 0.8185
Si 0.4110 0.5633 0.3185
Si 0.9110 0.9367 0.1815
Si 0.6058 0.3921 0.1298
Si 0.1058 0.1079 0.3702
Si 0.8942 0.3921 0.8702
Si 0.3942 0.1079 0.6298
Si 0.3942 0.6079 0.8702
Si 0.8942 0.8921 0.6298
Si 0.1058 0.6079 0.1298
Si 0.6058 0.8921 0.3702

mass density = 11.10 g cm⁻³
formation energy from raw total energies = -0.517 eV per atom
SG = No. 60

[10]
Density functional theory data (GGA-PBEsol) for crystalline ReMo2Os at its relaxed geometry.

Cell: 3.8963 3.8963 4.7762 Å, 114.07 114.07 90.00°
Fractional positions:
Mo 0.7500 0.2500 0.5000
Mo 0.2500 0.7500 0.5000
Os 0.5000 0.5000 0.0000
Re 0.0000 0.0000 0.0000

mass density = 15.93 g cm⁻³
energy of formation = 134 meV per atom
SG = No. 139

[11]
Density functional theory data (GGA-PBEsol) for crystalline Li2ReC at its relaxed geometry.

Cell: 4.0338 5.0692 5.0692 Å, 80.89 66.56 66.56°
Fractional positions:
Re 0.7500 0.5000 0.5000
Re 0.0000 0.0000 0.0000
C 0.2500 0.5000 0.5000
C 0.5000 0.0000 0.0000
Li 0.1981 0.9269 0.4269
Li 0.5519 0.0731 0.5731
Li 0.3750 0.4269 0.0731
Li 0.8750 0.5731 0.9269

mass density = 8.07 g cm⁻³
energy of formation = 699 meV per atom
SG = No. 122

[12]
Density functional theory data (GGA-PBEsol) for crystalline LiTe2Au at its relaxed geometry.

Cell: 3.1416 5.2920 5.2920 Å, 90.00 90.00 90.00°
Fractional positions:
Au 0.5000 0.5000 0.5000
Li 0.5000 0.0000 0.0000
Te 0.0000 0.0000 0.5000
Te 0.0000 0.5000 0.0000

mass density = 8.67 g cm⁻³
formation energy from raw total energies = -0.184 eV per atom
SG = No. 123

[13]
Density functional theory data (GGA-PBEsol) for crystalline La5Pb3I at its relaxed geometry.

Cell: 6.9795 9.7333 9.7333 Å, 120.00 90.00 90.00°
Each line ends with the local moment (μB).
Fractional positions:
La 0.7500 0.0000 0.2750  0.04
La 0.2500 0.7250 0.0000  0.04
La 0.2500 0.2750 0.2750  0.04
La 0.0000 0.3333 0.6667  0.09
La 0.5000 0.3333 0.6667  0.09
La 0.0000 0.6667 0.3333  0.09
La 0.5000 0.6667 0.3333  0.09
La 0.2500 0.0000 0.7250  0.04
La 0.7500 0.7250 0.7250  0.04
La 0.7500 0.2750 0.0000  0.04
Pb 0.7500 0.0000 0.6166  -0.01
Pb 0.2500 0.0000 0.3834  -0.01
Pb 0.2500 0.3834 0.0000  -0.01
Pb 0.7500 0.3834 0.3834  -0.01
Pb 0.7500 0.6166 0.0000  -0.01
Pb 0.2500 0.6166 0.6166  -0.01
I 0.0000 0.0000 0.0000  0.00
I 0.5000 0.0000 0.0000  0.00

mass density = 8.37 g cm⁻³
formation energy from raw total energies = -0.783 eV per atom
SG = No. 193

[14]
Density functional theory data (GGA-PBEsol) for crystalline ReSb4Br at its relaxed geometry.

Cell: 6.0748 6.0748 6.0748 Å, 60.00 60.00 60.00°
Each line ends with the local moment (μB).
Fractional positions:
Re 0.0000 0.0000 0.0000  3.48
Br 0.7500 0.7500 0.7500  0.11
Sb 0.3768 0.3768 0.3768  0.01
Sb 0.3768 0.3768 0.8697  0.01
Sb 0.8697 0.3768 0.3768  0.01
Sb 0.3768 0.8697 0.3768  0.01

mass density = 7.89 g cm⁻³
formation energy from raw total energies = 1.121 eV per atom
SG = No. 216

[15]
Density functional theory data (GGA-PBEsol) for crystalline MnCrO2F at its relaxed geometry.

Cell: 3.7349 3.8133 3.8133 Å, 90.00 90.00 90.00°
Each line ends with the local moment (μB).
Fractional positions:
Cr 0.0000 0.0000 0.0000  2.62
Mn 0.5000 0.5000 0.5000  4.58
O 0.0000 0.0000 0.5000  0.10
O 0.0000 0.5000 0.0000  0.10
F 0.5000 0.0000 0.0000  0.05

mass density = 4.83 g cm⁻³
formation energy from raw total energies = -1.340 eV per atom
SG = No. 123

[16]
Density functional theory data (GGA-PBEsol) for crystalline AgTe2Mo at its relaxed geometry.

Cell: 3.4381 4.8323 4.8323 Å, 90.00 90.00 90.00°
Each line ends with the local moment (μB).
Fractional positions:
Ag 0.5000 0.5000 0.5000  0.01
Mo 0.5000 0.0000 0.0000  0.89
Te 0.0000 0.0000 0.5000  -0.01
Te 0.0000 0.5000 0.0000  -0.01

E above lowest polymorph = 389 meV per atom
mass density = 9.49 g cm⁻³
formation energy from raw total energies = 0.480 eV per atom
SG = No. 123

[17]
Density functional theory data (GGA-PBEsol) for crystalline Pm3Hg at its relaxed geometry.

Cell: 5.3649 6.9357 6.9357 Å, 120.00 90.00 90.00°
Fractional positions:
Pm 0.2500 0.6484 0.8242
Pm 0.2500 0.1758 0.3516
Pm 0.2500 0.1758 0.8242
Pm 0.7500 0.3516 0.1758
Pm 0.7500 0.8242 0.6484
Pm 0.7500 0.8242 0.1758
Hg 0.7500 0.3333 0.6667
Hg 0.2500 0.6667 0.3333

mass density = 9.44 g cm⁻³
energy of formation = -220 meV per atom
SG = No. 194

[18]
Density functional theory data (GGA-PBEsol) for crystalline RbIr3F at its relaxed geometry.

Cell: 4.4337 4.4337 4.4337 Å, 90.00 90.00 90.00°
Fractional positions:
Ir 0.0000 0.5000 0.0000
Ir 0.0000 0.0000 0.5000
Ir 0.5000 0.0000 0.0000
Rb 0.5000 0.5000 0.5000
F 0.0000 0.0000 0.0000

mass density = 12.98 g cm⁻³
formation energy from raw total energies = 1.773 eV per atom
SG = No. 221

[19]
Density functional theory data (GGA-PBEsol) for crystalline Mn2RuPt at its relaxed geometry.

Cell: 2.6278 2.6278 7.2859 Å, 90.00 90.00 90.00°
Each line ends with the local moment (μB).
Fractional positions:
Ru 0.5000 0.5000 0.5000  -0.35
Mn 0.0000 0.0000 0.7408  1.55
Mn 0.0000 0.0000 0.2592  1.55
Pt 0.5000 0.5000 0.0000  0.03

mass density = 13.40 g cm⁻³
energy of formation = -5 meV per atom
SG = No. 123

[20]
Density functional theory data (GGA-PBEsol) for crystalline NiS2O at its relaxed geometry.

Cell: 3.4251 3.4251 6.0104 Å, 73.45 73.45 60.00°
Fractional positions:
Ni 0.5000 0.5000 0.5000
S 0.8975 0.8975 0.3075
S 0.1025 0.1025 0.6925
O 0.0000 0.0000 0.0000

mass density = 4.00 g cm⁻³
formation energy from raw total energies = -0.234 eV per atom
SG = No. 166

Total magnetic moment, respectively: 1.177 0.347 1.484 0.000 0.000 2.959 0.898 0.007 0.000 0.000 0.000 0.000 1.403 4.449 7.926 0.963 0.005 0.001 2.849 0.000 Bohr magnetons per cell.